# BaSm2OsN4

An optimized crystal structure of BaSm2OsN4 (PBE, the Alexandria database).

POSCAR file:
```
BaSm2OsN4
1.0
1.786 -6.257 0.000
1.786 6.257 0.000
0.000 0.000 12.378
Ba Sm Os N
2 4 2 8
direct
0.069 0.931 0.750
0.931 0.069 0.250
0.370 0.630 0.541
0.370 0.630 0.959
0.630 0.370 0.041
0.630 0.370 0.459
0.192 0.808 0.250
0.808 0.192 0.750
0.000 0.000 0.000
0.000 0.000 0.500
0.255 0.745 0.111
0.255 0.745 0.389
0.383 0.617 0.750
0.617 0.383 0.250
0.745 0.255 0.611
0.745 0.255 0.889
```

# Ba2SmOsN4

An optimized crystal structure of Ba2SmOsN4 (PBE, the Alexandria database).

POSCAR file:
```
Ba2SmOsN4
1.0
0.000 6.084 10.656
3.046 0.000 10.656
3.046 6.084 0.000
Ba Sm Os N
4 2 2 8
direct
0.063 0.063 0.687
0.313 0.313 0.937
0.687 0.687 0.063
0.937 0.937 0.313
0.125 0.125 0.125
0.875 0.875 0.875
0.375 0.375 0.375
0.625 0.625 0.625
0.045 0.623 0.517
0.315 0.517 0.623
0.377 0.955 0.685
0.483 0.685 0.955
0.517 0.315 0.045
0.623 0.045 0.315
0.685 0.483 0.377
0.955 0.377 0.483
```

# Ba2SnOsN

An optimized crystal structure of Ba2SnOsN (PBE, the Alexandria database).

POSCAR file:
```
Ba2SnOsN
1.0
6.015 0.000 0.000
0.000 6.015 0.000
0.000 0.000 3.811
Ba Sn Os N
2 1 1 1
direct
0.000 0.500 0.000
0.500 0.000 0.000
0.000 0.000 0.500
0.500 0.500 0.500
0.500 0.500 0.000
```

# BaSr2OsN4

An optimized crystal structure of BaSr2OsN4 (PBE, the Alexandria database).

POSCAR file:
```
BaSr2OsN4
1.0
7.875 0.000 0.000
0.000 6.918 0.000
0.000 0.000 6.187
Ba Sr Os N
2 4 2 8
direct
0.000 0.115 0.000
0.500 0.885 0.500
0.240 0.348 0.510
0.260 0.652 0.010
0.740 0.652 0.010
0.760 0.348 0.510
0.000 0.822 0.527
0.500 0.178 0.027
0.000 0.092 0.496
0.000 0.766 0.822
0.191 0.707 0.406
0.309 0.293 0.906
0.500 0.234 0.322
0.500 0.908 0.996
0.691 0.293 0.906
0.809 0.707 0.406
```

# BaSrOsN2

An optimized crystal structure of BaSrOsN2 (PBE, the Alexandria database).

POSCAR file:
```
BaSrOsN2
1.0
5.376 0.000 0.000
0.000 5.914 0.000
0.000 0.000 7.775
Ba Sr Os N
2 2 2 4
direct
0.000 0.000 0.250
0.000 0.000 0.750
0.500 0.500 0.250
0.500 0.500 0.750
0.000 0.500 0.000
0.000 0.500 0.500
0.239 0.281 0.000
0.239 0.719 0.500
0.761 0.281 0.500
0.761 0.719 0.000
```

# Ba2SrOsN4

An optimized crystal structure of Ba2SrOsN4 (PBE, the Alexandria database).

POSCAR file:
```
Ba2SrOsN4
1.0
8.192 0.000 0.000
0.000 7.560 0.000
0.000 0.000 5.761
Ba Sr Os N
4 2 2 8
direct
0.243 0.162 0.000
0.257 0.838 0.500
0.743 0.838 0.500
0.757 0.162 0.000
0.000 0.365 0.509
0.500 0.635 0.009
0.000 0.657 0.061
0.500 0.343 0.561
0.000 0.415 0.997
0.000 0.666 0.383
0.189 0.770 0.971
0.311 0.230 0.471
0.500 0.334 0.883
0.500 0.585 0.497
0.689 0.230 0.471
0.811 0.770 0.971
```

no.,D(E_F) (states/eV/f.u.),size of the total moment (μB per cell),ΔE_f (raw) (eV per atom)
1,3.00,0.0,-0.78
2,4.81,0.0,-0.14
3,2.82,0.0,-0.27
4,5.06,2.7,-0.42
5,0.23,0.0,-0.32
6,4.35,0.4,-0.39